<i>
Compound: BaTlSbI2
Source: Alexandria
Functional: PBE-GGA
Structure: relaxed

Properties
Space-group type: P4/mmm
M_tot (μB per formula unit): 0.922

Cell lengths 6.2525, 6.2525, 5.8044 Å; angles 90.00, 90.00, 90.00 degrees
Last column: magnetic moment on the atom in μB.
Sites, in units of the cell vectors:
Ba: 0.5000 0.5000 0.5000  0.01
Sb: 0.0000 0.0000 0.5000  0.27
Tl: 0.0000 0.0000 0.0000  0.00
I: 0.5000 0.0000 0.0000  0.05
I: 0.0000 0.5000 0.0000  0.05

***

<ii>
Compound: BaTlSbI2
Source: Alexandria
Functional: PBE-GGA
Structure: relaxed

Properties
Space-group type: P4/mmm
M_tot (μB per formula unit): 2.006

Cell lengths 6.6896, 6.6896, 6.9021 Å; angles 90.00, 90.00, 90.00 degrees
Last column: magnetic moment on the atom in μB.
Sites, in units of the cell vectors:
Ba: 0.0000 0.0000 0.0000  0.02
Sb: 0.0000 0.0000 0.5000  0.64
I: 0.0000 0.5000 0.0000  0.04
Tl: 0.5000 0.5000 0.5000  0.01
I: 0.5000 0.0000 0.0000  0.04

***

So which one is most stable? That would be <i>, about 38 meV/atom below the next structure.

***

<i>
Compound: BaVSb2I
Source: Alexandria
Functional: PBE-GGA
Structure: relaxed

Properties
Space-group type: P4/mmm
M_tot (μB per formula unit): 2.151

Cell lengths 6.4049, 6.4049, 6.4425 Å; angles 90.00, 90.00, 90.00 degrees
Last column: magnetic moment on the atom in μB.
Sites, in units of the cell vectors:
Ba: 0.0000 0.0000 0.0000  -0.05
I: 0.0000 0.0000 0.5000  -0.08
V: 0.5000 0.5000 0.5000  3.23
Sb: 0.0000 0.5000 0.0000  -0.32
Sb: 0.5000 0.0000 0.0000  -0.32

***

<ii>
Compound: BaVSb2I
Source: Alexandria
Functional: PBE-GGA
Structure: relaxed

Properties
Space-group type: P4/mmm
M_tot (μB per formula unit): 1.503

Cell lengths 5.1876, 5.1876, 6.1048 Å; angles 90.00, 90.00, 90.00 degrees
Last column: magnetic moment on the atom in μB.
Sites, in units of the cell vectors:
I: 0.0000 0.0000 0.5000  -0.04
Ba: 0.5000 0.5000 0.5000  0.00
Sb: 0.0000 0.5000 0.0000  -0.07
Sb: 0.5000 0.0000 0.0000  -0.07
V: 0.0000 0.0000 0.0000  1.61

***

So which one is most stable? That would be <ii>, about 1467 meV/atom below the next structure.

***

<i>
Compound: BaSb2WI
Source: Alexandria
Functional: PBE-GGA
Structure: relaxed

Properties
Space-group type: P4/mmm
M_tot (μB per formula unit): 0.145

Cell lengths 5.2538, 5.2538, 6.0859 Å; angles 90.00, 90.00, 90.00 degrees
Last column: magnetic moment on the atom in μB.
Sites, in units of the cell vectors:
Sb: 0.0000 0.5000 0.0000  0.00
W: 0.0000 0.0000 0.0000  0.11
Ba: 0.5000 0.5000 0.5000  0.00
I: 0.0000 0.0000 0.5000  0.00
Sb: 0.5000 0.0000 0.0000  0.00

***

<ii>
Compound: BaSb2WI
Source: Alexandria
Functional: PBE-GGA
Structure: relaxed

Properties
Space-group type: P4/mmm
M_tot (μB per formula unit): 2.765

Cell lengths 6.4756, 6.4756, 6.3742 Å; angles 90.00, 90.00, 90.00 degrees
Last column: magnetic moment on the atom in μB.
Sites, in units of the cell vectors:
Sb: 0.5000 0.0000 0.0000  -0.42
Sb: 0.0000 0.5000 0.0000  -0.42
W: 0.5000 0.5000 0.5000  3.62
Ba: 0.0000 0.0000 0.0000  -0.05
I: 0.0000 0.0000 0.5000  -0.06

***

<iii>
Compound: BaSb2WI
Source: Alexandria
Functional: PBE-GGA
Structure: relaxed

Properties
Space-group type: P4/mmm
M_tot (μB per formula unit): 4.490

Cell lengths 5.8367, 6.2508, 5.8367 Å; angles 90.00, 90.00, 90.00 degrees
Last column: magnetic moment on the atom in μB.
Sites, in units of the cell vectors:
Sb: 0.0000 0.0000 0.5000  -0.09
W: 0.5000 0.5000 0.5000  3.36
I: 0.0000 0.0000 0.0000  0.00
Ba: 0.0000 0.5000 0.0000  0.04
Sb: 0.5000 0.0000 0.0000  -0.07

***

So which one is most stable? That would be <i>, about 1561 meV/atom below the next structure.